Below is Rb2MnPRu after structural relaxation, with properties calculated at the PBE level.

```
data_Rb2MnPRu
_cell_length_a 6.779
_cell_length_b 6.779
_cell_length_c 4.350
_cell_angle_alpha 90.00
_cell_angle_beta 90.00
_cell_angle_gamma 90.00
_space_group_name_H-M_alt 'P 4/m m m'
_space_group_IT_number 123
_space_group_name_Hall '-P 4 2'
loop_
_atom_site_label
_atom_site_fract_x
_atom_site_fract_y
_atom_site_fract_z
Rb1 0.000 0.500 0.000
Mn1 0.000 0.000 0.000
P1 0.000 0.000 0.500
Ru1 0.500 0.500 0.500
```

Results
- M_tot (μB/f.u.) = 6.89
- DOS at the Fermi energy (states/eV/atom) = 1.40
- VASP energy (eV/atom) = -4.020
- V (Å³ per cell) = 199.90
- E_form (eV/atom) = 1.138

***

Below is NdSm2PaSb4 after structural relaxation, with properties calculated at the PBE level.

```
data_NdSm2PaSb4
_cell_length_a 7.711
_cell_length_b 4.453
_cell_length_c 7.724
_cell_angle_alpha 90.00
_cell_angle_beta 109.34
_cell_angle_gamma 90.00
_space_group_name_H-M_alt 'P 1 2/m 1'
_space_group_IT_number 10
loop_
_space_group_symop_operation_xyz
'x,y,z'
'-x,-y,-z'
'-x,y,-z'
'x,-y,z'
loop_
_atom_site_label
_atom_site_fract_x
_atom_site_fract_y
_atom_site_fract_z
Nd1 0.000 0.000 0.000
Sm1 0.500 0.000 0.500
Sm2 0.500 0.500 0.000
Pa1 0.000 0.500 0.500
Sb1 0.246 0.000 0.744
Sb2 0.249 0.500 0.256
```

Results
- M_tot (μB/f.u.) = 0.87
- DOS at the Fermi energy (states/eV/atom) = 0.84
- VASP energy (eV/atom) = -6.021
- V (Å³ per cell) = 250.21
- uncorrected formation energy (eV/atom) = -0.9971

***

Below is ThP2S6 after structural relaxation, with properties calculated at the PBE level.

```
data_ThP2S6
_cell_length_a 6.5965
_cell_length_b 6.5965
_cell_length_c 22.0583
_cell_angle_alpha 90.00
_cell_angle_beta 90.00
_cell_angle_gamma 120.00
_space_group_name_H-M_alt 'R 3'
_space_group_IT_number 146
_space_group_name_Hall 'R 3'
loop_
_atom_site_label
_atom_site_fract_x
_atom_site_fract_y
_atom_site_fract_z
Th1 0.0000 0.0000 0.0000
P1 0.0000 0.0000 0.2817
P2 0.0000 0.0000 0.3837
S1 0.0504 0.3609 0.0777
S2 0.0546 0.6965 0.9208
```

Results
- M_tot (μB/f.u.) = 0.00
- DOS at the Fermi energy (states/eV/atom) = 0.00
- VASP energy (eV/atom) = -5.533
- V (Å³ per cell) = 831.26
- uncorrected formation energy (eV/atom) = -0.7545

***

Below is SrCd2As after structural relaxation, with properties calculated at the PBE level.

```
data_SrCd2As
_cell_length_a 4.078
_cell_length_b 4.078
_cell_length_c 6.472
_cell_angle_alpha 90.00
_cell_angle_beta 90.00
_cell_angle_gamma 90.00
_space_group_name_H-M_alt 'P 4/m m m'
_space_group_IT_number 123
_space_group_name_Hall '-P 4 2'
loop_
_atom_site_label
_atom_site_fract_x
_atom_site_fract_y
_atom_site_fract_z
Sr1 0.000 0.000 0.000
Cd1 0.500 0.500 0.285
As1 0.000 0.000 0.500
```

Results
- M_tot (μB/f.u.) = 0.00
- DOS at the Fermi energy (states/eV/atom) = 0.53
- VASP energy (eV/atom) = -2.248
- V (Å³ per cell) = 107.63
- E_form (eV/atom) = -0.207

***

Below is RbPb2ClO after structural relaxation, with properties calculated at the PBE level.

```
data_RbPb2ClO
_cell_length_a 5.483
_cell_length_b 5.483
_cell_length_c 5.953
_cell_angle_alpha 90.00
_cell_angle_beta 90.00
_cell_angle_gamma 90.00
_space_group_name_H-M_alt 'P 4/m m m'
_space_group_IT_number 123
_space_group_name_Hall '-P 4 2'
loop_
_atom_site_label
_atom_site_fract_x
_atom_site_fract_y
_atom_site_fract_z
Rb1 0.000 0.000 0.000
Pb1 0.000 0.500 0.500
Cl1 0.500 0.500 0.500
O1 0.500 0.500 0.000
```

Results
- M_tot (μB/f.u.) = 0.00
- DOS at the Fermi energy (states/eV/atom) = 1.35
- VASP energy (eV/atom) = -2.782
- V (Å³ per cell) = 178.98
- uncorrected formation energy (eV/atom) = 0.2560

***

Below is Pr12Nd7Y after structural relaxation, with properties calculated at the PBE level.

```
data_Pr12Nd7Y
_cell_length_a 12.4877
_cell_length_b 12.4877
_cell_length_c 16.1108
_cell_angle_alpha 90.00
_cell_angle_beta 90.00
_cell_angle_gamma 120.00
_space_group_name_H-M_alt 'R -3'
_space_group_IT_number 148
_space_group_name_Hall '-R 3'
loop_
_atom_site_label
_atom_site_fract_x
_atom_site_fract_y
_atom_site_fract_z
Pr1 0.0234 0.4460 0.2221
Pr2 0.0583 0.5905 0.5804
Nd1 0.0000 0.0000 0.0000
Nd2 0.0576 0.1868 0.2958
Y1 0.0000 0.0000 0.5000
```

Results
- M_tot (μB/f.u.) = 0.00
- DOS at the Fermi energy (states/eV/atom) = 2.04
- VASP energy (eV/atom) = -4.650
- V (Å³ per cell) = 2175.76
- E_form (eV/atom) = 0.209

***

Below is ZnAg2Te after structural relaxation, with properties calculated at the PBE level.

```
data_ZnAg2Te
_cell_length_a 3.061
_cell_length_b 4.007
_cell_length_c 6.685
_cell_angle_alpha 90.00
_cell_angle_beta 90.00
_cell_angle_gamma 90.00
_space_group_name_H-M_alt 'P m m m'
_space_group_IT_number 47
loop_
_space_group_symop_operation_xyz
'x,y,z'
'-x,-y,-z'
'-x,-y,z'
'x,y,-z'
'x,-y,-z'
'-x,y,z'
'-x,y,-z'
'x,-y,z'
loop_
_atom_site_label
_atom_site_fract_x
_atom_site_fract_y
_atom_site_fract_z
Zn1 0.000 0.000 0.000
Ag1 0.500 0.500 0.207
Te1 0.000 0.000 0.500
```

Results
- M_tot (μB/f.u.) = 0.00
- DOS at the Fermi energy (states/eV/atom) = 0.38
- VASP energy (eV/atom) = -2.439
- V (Å³ per cell) = 82.00
- uncorrected formation energy (eV/atom) = 0.0905

***

Below is PmPr3Sm3 after structural relaxation, with properties calculated at the PBE level.

```
data_PmPr3Sm3
_cell_length_a 10.7993
_cell_length_b 10.7993
_cell_length_c 7.2947
_cell_angle_alpha 90.00
_cell_angle_beta 90.00
_cell_angle_gamma 120.00
_space_group_name_H-M_alt 'R 3 m'
_space_group_IT_number 160
_space_group_name_Hall 'R 3 -2"'
loop_
_atom_site_label
_atom_site_fract_x
_atom_site_fract_y
_atom_site_fract_z
Pm1 0.0000 0.0000 0.0000
Pr1 0.1872 0.3744 0.8534
Sm1 0.2114 0.4227 0.3132
```

Results
- M_tot (μB/f.u.) = 0.00
- DOS at the Fermi energy (states/eV/atom) = 1.41
- VASP energy (eV/atom) = -4.522
- V (Å³ per cell) = 736.77
- E_form (eV/atom) = 0.228

***

Below is SmWN4 after structural relaxation, with properties calculated at the PBE level.

```
data_SmWN4
_cell_length_a 7.282
_cell_length_b 6.570
_cell_length_c 7.547
_cell_angle_alpha 90.00
_cell_angle_beta 90.00
_cell_angle_gamma 90.00
_space_group_name_H-M_alt 'C m c m'
_space_group_IT_number 63
_space_group_name_Hall '-C 2c 2'
loop_
_atom_site_label
_atom_site_fract_x
_atom_site_fract_y
_atom_site_fract_z
Sm1 0.000 0.095 0.250
W1 0.000 0.408 0.750
N1 0.000 0.232 0.552
N2 0.201 0.415 0.250
```

Results
- M_tot (μB/f.u.) = 1.46
- DOS at the Fermi energy (states/eV/atom) = 0.68
- VASP energy (eV/atom) = -8.435
- V (Å³ per cell) = 361.10
- uncorrected formation energy (eV/atom) = 0.0605

***

Below is LiPb3I after structural relaxation, with properties calculated at the PBE level.

```
data_LiPb3I
_cell_length_a 5.375
_cell_length_b 5.375
_cell_length_c 5.375
_cell_angle_alpha 90.00
_cell_angle_beta 90.00
_cell_angle_gamma 90.00
_space_group_name_H-M_alt 'P m -3 m'
_space_group_IT_number 221
_space_group_name_Hall '-P 4 2 3'
loop_
_atom_site_label
_atom_site_fract_x
_atom_site_fract_y
_atom_site_fract_z
Li1 0.000 0.000 0.000
Pb1 0.000 0.000 0.500
I1 0.500 0.500 0.500
```

Results
- M_tot (μB/f.u.) = 0.00
- DOS at the Fermi energy (states/eV/atom) = 1.16
- VASP energy (eV/atom) = -2.813
- V (Å³ per cell) = 155.26
- uncorrected formation energy (eV/atom) = 0.1045

***

Below is AcEr3As4O12 after structural relaxation, with properties calculated at the PBE level.

```
data_AcEr3As4O12
_cell_length_a 11.3205
_cell_length_b 11.3205
_cell_length_c 8.4600
_cell_angle_alpha 90.00
_cell_angle_beta 90.00
_cell_angle_gamma 120.00
_space_group_name_H-M_alt 'R 3 2'
_space_group_IT_number 155
_space_group_name_Hall 'R 3 2"'
loop_
_atom_site_label
_atom_site_fract_x
_atom_site_fract_y
_atom_site_fract_z
Ac1 0.0000 0.0000 0.0000
Er1 0.0000 0.5706 0.0000
As1 0.0000 0.0000 0.5000
As2 0.0000 0.4023 0.5000
O1 0.0000 0.5611 0.5000
O2 0.0000 0.8308 0.5000
O3 0.0482 0.1913 0.1971
```

Results
- M_tot (μB/f.u.) = 0.00
- DOS at the Fermi energy (states/eV/atom) = 0.10
- VASP energy (eV/atom) = -6.891
- V (Å³ per cell) = 938.92
- uncorrected formation energy (eV/atom) = -2.0966